# Tm2InB2Ir5

A geometry-optimized Tm2InB2Ir5 structure (PBE-GGA, Alexandria). Values from VASP.

Quantum ESPRESSO input file:
```
&SYSTEM
  ibrav = 0, nat = 20, ntyp = 4
/
ATOMIC_SPECIES
Ir 192.22 Ir.upf
Tm 168.93 Tm.upf
B 10.81 B.upf
In 114.82 In.upf
CELL_PARAMETERS angstrom
-0.694 -2.462 -1.940
9.455 -1.680 -1.249
-0.058 -5.984 7.613
ATOMIC_POSITIONS angstrom
Ir 0.269 -5.979 4.835
Tm 3.008 -5.469 5.863
Tm 6.389 -2.196 0.501
Ir 6.916 -8.097 5.145
Ir -0.376 -4.223 2.837
B 3.580 -1.359 0.444
B 5.817 -6.305 5.920
Ir 3.704 -3.593 0.578
Ir 4.999 -6.533 3.846
Ir 2.210 -5.101 3.026
Ir 8.434 -4.147 -0.411
In 4.698 -3.832 3.182
Tm 7.744 -5.434 4.125
Tm 1.653 -2.231 2.239
Ir 1.787 -2.029 -0.721
B 1.104 -3.916 4.574
Ir 4.380 -2.071 -1.595
Ir 6.493 -5.025 1.398
B 8.293 -3.748 1.790
In 0.000 0.000 0.000
```

* volume: 301.0 Å³/cell
* mass density: 15.8 g/cm3
* E_form: -0.720 eV per atom